1.
# Al2Ni2Ag PBE relaxed
# - ΔH_f (0 K): -0.39 eV/atom
# - Calculated volume: 136 Å³ per cell
data_Al2Ni2Ag
_chemical_formula_sum 'Al4 Ni4 Ag2'
_space_group_name_H-M_alt 'P 4/m b m'
_space_group_IT_number 127
_space_group_name_Hall '-P 4 2ab'
_cell_length_a 7.0296
_cell_length_b 7.0296
_cell_length_c 2.7539
_cell_angle_alpha 90.00
_cell_angle_beta 90.00
_cell_angle_gamma 90.00
loop_
_atom_site_label
_atom_site_fract_x
_atom_site_fract_y
_atom_site_fract_z
Al1 0.1437 0.3563 0.0000
Ni1 0.1487 0.6487 0.5000
Ag1 0.0000 0.0000 0.0000

---

2.
# AlNiAg PBE relaxed
# - ΔH_f (0 K): -0.13 eV/atom
# - Calculated volume: 43 Å³ per cell
data_AlNiAg
_chemical_formula_sum 'Al1 Ni1 Ag1'
_space_group_name_H-M_alt 'P 3 m 1'
_space_group_IT_number 156
_space_group_name_Hall 'P 3 -2"'
_cell_length_a 4.1897
_cell_length_b 4.1897
_cell_length_c 2.8471
_cell_angle_alpha 90.00
_cell_angle_beta 90.00
_cell_angle_gamma 120.00
loop_
_atom_site_label
_atom_site_fract_x
_atom_site_fract_y
_atom_site_fract_z
Al1 0.0000 0.0000 0.0000
Ni1 0.3333 0.6667 0.0393
Ag1 0.6667 0.3333 0.5265